[1]
Material: Sr2CaIn4
Method: DFT, GGA-PBE
State: optimized geometry

Lattice parameters (Å, degrees): 8.5752 8.5752 8.5752 142.37 142.37 54.27
Last column: nearest neighbours and their distance in Å.
Fractional positions:
1 Sr 0.2448 0.2448 0.0000  8 In 3.52-3.62, 1 Ca 3.89, 4 Sr 3.91
2 Sr 0.7552 0.7552 0.0000  8 In 3.52-3.62, 1 Ca 3.89, 4 Sr 3.91
3 Ca 0.5000 0.5000 0.0000  8 In 3.18
4 In 0.1025 0.6025 0.5000  1 In 3.13, 2 Ca 3.18
5 In 0.3975 0.8975 0.5000  1 In 3.13, 2 Ca 3.18
6 In 0.6025 0.1025 0.5000  1 In 3.13, 2 Ca 3.18
7 In 0.8975 0.3975 0.5000  1 In 3.13, 2 Ca 3.18

- DFT total energy: -0.1913 Ry/atom
- Space-group type: I4/mmm
- ΔE_f: -0.27 eV/atom
- V: 33.4 Å³ per atom

***

[2]
Material: ZnCu2Ni
Method: DFT, GGA-PBE
State: optimized geometry

Lattice parameters (Å, degrees): 4.4902 4.4902 4.3770 100.45 100.45 33.85
Last column: nearest neighbours and their distance in Å.
Fractional positions:
1 Zn 0.0000 0.0000 0.0000  4 Ni 2.55, 6 Cu 2.58-2.60, 2 Zn 2.61
2 Cu 0.2470 0.2470 0.7445  6 Cu 2.52-2.61, 3 Ni 2.55-2.60, 3 Zn 2.58-2.60
3 Cu 0.7530 0.7530 0.2555  6 Cu 2.52-2.61, 3 Ni 2.55-2.60, 3 Zn 2.58-2.60
4 Ni 0.5000 0.5000 0.5000  6 Cu 2.55-2.60, 4 Zn 2.55, 2 Ni 2.61

- DFT total energy: -0.2867 Ry/atom
- Space-group type: C2/m
- ΔE_f: -0.09 eV/atom
- V: 12.1 Å³ per atom

***

[3]
Material: Pr2HoSb3Pt4
Method: DFT, GGA-PBE
State: optimized geometry

Lattice parameters (Å, degrees): 4.5343 4.5343 11.4431 90.00 90.00 90.00
Last column: nearest neighbours and their distance in Å.
Fractional positions:
1 Pr 0.0000 0.5000 0.2152  8 Pt 3.35-3.60, 4 Sb 3.35
2 Pr 0.5000 0.0000 0.7848  8 Pt 3.35-3.60, 4 Sb 3.35
3 Ho 0.0000 0.0000 0.5000  4 Pt 2.79
4 Sb 0.0000 0.5000 0.8696  5 Pt 2.60-2.71
5 Sb 0.5000 0.0000 0.1304  5 Pt 2.60-2.71
6 Sb 0.5000 0.5000 0.5000  4 Pt 2.79
7 Pt 0.0000 0.0000 0.0000  4 Sb 2.71
8 Pt 0.0000 0.5000 0.6422  3 Sb 2.60-2.79, 2 Ho 2.79
9 Pt 0.5000 0.0000 0.3578  3 Sb 2.60-2.79, 2 Ho 2.79
10 Pt 0.5000 0.5000 0.0000  4 Sb 2.71

- DFT total energy: -0.4428 Ry/atom
- Formation energy (no corrections): -0.958 eV/atom
- Space-group type: P-4m2
- V: 23.5 Å³ per atom

***

[4]
Material: SrMoOs2
Method: DFT, GGA-PBE
State: optimized geometry

Lattice parameters (Å, degrees): 4.7635 4.7635 3.1592 90.00 90.00 90.00
Last column: nearest neighbours and their distance in Å.
Fractional positions:
1 Sr 0.0000 0.0000 0.0000  8 Os 2.86, 2 Sr 3.16
2 Mo 0.5000 0.5000 0.0000  8 Os 2.86, 2 Mo 3.16
3 Os 0.0000 0.5000 0.5000  4 Mo 2.86, 4 Sr 2.86, 2 Os 3.16
4 Os 0.5000 0.0000 0.5000  4 Mo 2.86, 4 Sr 2.86, 2 Os 3.16

- DFT total energy: -0.5670 Ry/atom
- E above lowest polymorph: 0.5219 eV per atom
- Space-group type: P4/mmm
- ΔE_f: 1.03 eV/atom
- V: 17.9 Å³ per atom

***

[5]
Material: Sm3YCo
Method: DFT, GGA-PBE
State: optimized geometry

Lattice parameters (Å, degrees): 5.3790 5.3790 5.3790 90.00 90.00 90.00
Last column: nearest neighbours and their distance in Å.
Fractional positions:
1 Sm 0.0000 0.0000 0.5000  2 Co 2.69
2 Sm 0.0000 0.5000 0.0000  2 Co 2.69
3 Sm 0.5000 0.0000 0.0000  2 Co 2.69
4 Y 0.5000 0.5000 0.5000  12 Sm 3.80
5 Co 0.0000 0.0000 0.0000  6 Sm 2.69

- DFT total energy: -0.4026 Ry/atom
- E above lowest polymorph: 0.1450 eV per atom
- Space-group type: Pm-3m
- ΔE_f: 0.07 eV/atom
- V: 31.1 Å³ per atom

***

[6]
Material: LaBe5
Method: DFT, GGA-PBE
State: optimized geometry

Lattice parameters (Å, degrees): 3.6076 6.6929 6.6929 31.29 90.00 90.00
Last column: nearest neighbours and their distance in Å.
Fractional positions:
1 La 0.0000 0.0000 0.0000  8 Be 2.93-3.10
2 Be 0.0000 0.3045 0.3045  6 Be 2.11-2.14
3 Be 0.0000 0.7146 0.7146  4 Be 2.14-2.18
4 Be 0.5000 0.2180 0.2180  5 Be 2.12-2.20
5 Be 0.5000 0.3888 0.3888  5 Be 2.07-2.20
6 Be 0.5000 0.8095 0.8095  6 Be 2.07-2.18

- DFT total energy: -0.2734 Ry/atom
- Space-group type: Amm2
- ΔE_f: 0.21 eV/atom
- V: 14.0 Å³ per atom

***

[7]
Material: Ba3Th2ZrAs6
Method: DFT, GGA-PBE
State: optimized geometry

Lattice parameters (Å, degrees): 7.5158 7.5158 7.9214 99.11 99.11 120.00
Last column: nearest neighbours and their distance in Å.
Fractional positions:
1 Ba 0.0000 0.0000 0.0000  6 As 3.30-3.41
2 Ba 0.3318 0.6682 0.0000  6 As 3.30-3.40
3 Ba 0.6682 0.3318 0.0000  6 As 3.30-3.40
4 Th 0.1663 0.8337 0.5000  6 As 3.00
5 Th 0.8337 0.1663 0.5000  6 As 3.00
6 Zr 0.5000 0.5000 0.5000  6 As 2.86
7 As 0.1120 0.4311 0.2931  1 Zr 2.86, 2 Th 3.00
8 As 0.2505 0.2505 0.7082  1 Zr 2.86, 2 Th 3.00
9 As 0.4311 0.1120 0.2931  1 Zr 2.86, 2 Th 3.00
10 As 0.5689 0.8880 0.7069  1 Zr 2.86, 2 Th 3.00
11 As 0.7495 0.7495 0.2918  1 Zr 2.86, 2 Th 3.00
12 As 0.8880 0.5689 0.7069  1 Zr 2.86, 2 Th 3.00

- DFT total energy: -0.4394 Ry/atom
- Space-group type: C2/m
- ΔE_f: -1.22 eV/atom
- V: 30.6 Å³ per atom

***

[8]
Material: Pr3NdTl
Method: DFT, GGA-PBE
State: optimized geometry

Lattice parameters (Å, degrees): 13.4425 13.4425 4.9667 90.00 90.00 158.71
Last column: nearest neighbours and their distance in Å.
Fractional positions:
1 Pr 0.0530 0.9470 0.7500  8 Pr 3.51-3.78, 2 Nd 3.61, 2 Tl 3.63
2 Pr 0.2503 0.7497 0.7500  4 Pr 3.51, 4 Tl 3.56-3.57, 4 Nd 3.58-3.59
3 Pr 0.4453 0.5547 0.7500  8 Pr 3.51-3.81, 2 Nd 3.58, 2 Tl 3.59
4 Pr 0.5547 0.4453 0.2500  8 Pr 3.51-3.81, 2 Nd 3.58, 2 Tl 3.59
5 Pr 0.7497 0.2503 0.2500  4 Pr 3.51, 4 Tl 3.56-3.57, 4 Nd 3.58-3.59
6 Pr 0.9470 0.0530 0.2500  8 Pr 3.51-3.78, 2 Nd 3.61, 2 Tl 3.63
7 Nd 0.3480 0.6520 0.2500  4 Tl 3.51, 8 Pr 3.58-3.61
8 Nd 0.6520 0.3480 0.7500  4 Tl 3.51, 8 Pr 3.58-3.61
9 Tl 0.1530 0.8470 0.2500  4 Nd 3.51, 8 Pr 3.56-3.63
10 Tl 0.8470 0.1530 0.7500  4 Nd 3.51, 8 Pr 3.56-3.63

- DFT total energy: -0.3259 Ry/atom
- E above lowest polymorph: 0.0000 eV per atom
- Space-group type: Cmcm
- ΔE_f: -0.14 eV/atom
- V: 32.6 Å³ per atom